Record 1
VASP calculation (PBE with a Hubbard U) on a relaxed structure of RbNi2F6.

Results
N(E_F) ... 0.068 states/eV/cell
Crystal system ... orthorhombic
SG ... No. 74
Excess energy over the best structure of this formula in the dataset ... 0.00 eV per formula unit

```
RbNi2F6
1.0
-0.224 -7.144 -0.578
6.604 0.229 -2.785
-1.343 2.845 6.444
F Ni Rb
12 4 2
Direct
0.416 0.666 0.750
0.828 0.688 0.763
0.425 0.688 0.360
0.584 0.334 0.250
0.575 0.935 0.263
0.824 0.074 0.750
0.172 0.312 0.237
0.176 0.926 0.250
0.425 0.065 0.737
0.575 0.312 0.640
0.172 0.935 0.860
0.828 0.065 0.140
0.500 0.500 0.500
0.500 0.000 0.500
0.500 0.000 0.000
0.000 0.000 0.000
0.123 0.373 0.750
0.877 0.627 0.250
```


Record 2
VASP calculation (PBE with a Hubbard U) on a relaxed structure of RbNiRhF6.

Results
N(E_F) ... 0.000 states/eV/cell
Calculated total energy ... -4.5358 eV per atom
Crystal system ... monoclinic
SG ... No. 5

```
RbNiRhF6
1.0
-0.405 -2.384 4.798
1.986 -4.947 0.726
5.420 2.437 1.659
F Ni Rh Rb
6 1 1 1
Direct
0.363 0.632 0.322
0.004 0.634 0.677
0.363 0.004 0.678
0.004 0.362 0.323
0.633 0.003 0.323
0.633 0.364 0.677
0.666 0.667 0.500
0.333 0.333 0.500
0.000 0.000 0.000
```


Record 3
VASP calculation (PBE with a Hubbard U) on a relaxed structure of Rb2NiRh3F12.

Results
N(E_F) ... 4.984 states/eV/cell
Calculated total energy ... -4.6260 eV per atom
Crystal system ... trigonal
SG ... No. 166

```
Rb2NiRh3F12
1.0
-4.370 -3.099 -5.117
2.804 -5.182 -4.491
-2.120 -7.049 0.844
F Ni Rb Rh
12 1 2 3
Direct
0.076 0.076 0.676
0.332 0.332 0.924
0.324 0.924 0.924
0.924 0.924 0.324
0.676 0.076 0.076
0.668 0.076 0.668
0.076 0.668 0.668
0.924 0.332 0.332
0.332 0.924 0.332
0.668 0.668 0.076
0.076 0.676 0.076
0.924 0.324 0.924
0.000 0.000 0.000
0.633 0.633 0.633
0.367 0.367 0.367
0.500 0.000 0.000
0.000 0.000 0.500
0.000 0.500 0.000
```


Record 4
VASP calculation (PBE with a Hubbard U) on a relaxed structure of Rb2NiRhF6.

Results
N(E_F) ... 0.532 states/eV/cell
Calculated total energy ... -4.4015 eV per atom
Crystal system ... tetragonal
SG ... No. 139

```
Rb2NiRhF6
1.0
6.054 0.000 0.000
0.000 6.054 0.000
3.027 3.027 4.148
F Rh Rb Ni
6 1 2 1
Direct
0.752 0.752 0.497
0.248 0.248 0.503
0.737 0.263 0.000
0.263 0.263 0.000
0.737 0.737 0.000
0.263 0.737 0.000
0.000 0.000 0.000
0.250 0.750 0.500
0.750 0.250 0.500
0.500 0.500 0.000
```


Record 5
VASP calculation (PBE with a Hubbard U) on a relaxed structure of Rb2NiRuF6.

Results
N(E_F) ... 0.000 states/eV/cell
Calculated total energy ... -4.5703 eV per atom
Crystal system ... cubic
SG ... No. 225

```
Rb2NiRuF6
1.0
-2.570 1.762 5.043
-0.798 -5.660 1.571
2.049 -1.948 5.209
F Rb Ni Ru
6 2 1 1
Direct
0.744 0.744 0.000
0.744 0.744 0.512
0.256 0.744 0.000
0.256 0.256 0.000
0.256 0.256 0.488
0.744 0.256 0.000
0.250 0.750 0.500
0.750 0.250 0.500
0.500 0.500 0.000
0.000 0.000 0.000
```


Record 6
VASP calculation (PBE with a Hubbard U) on a relaxed structure of RbNi2SF.

Results
N(E_F) ... 2.509 states/eV/cell
Calculated total energy ... -1.0842 eV per atom
Crystal system ... tetragonal
SG ... No. 123

```
RbNi2SF
1.0
-5.011 2.679 -0.979
-0.083 -1.919 -4.824
-2.851 -4.640 1.895
Ni F S Rb
2 1 1 1
Direct
0.500 0.000 0.000
0.000 0.000 0.500
0.500 0.500 0.500
0.000 0.500 0.000
0.000 0.000 0.000
```


Record 7
VASP calculation (PBE with a Hubbard U) on a relaxed structure of RbNiSbF6.

Results
N(E_F) ... 0.000 states/eV/cell
Calculated total energy ... -4.4944 eV per atom
Crystal system ... triclinic
SG ... No. 1

```
RbNiSbF6
1.0
-0.068 5.309 2.166
-2.940 1.065 4.812
4.503 -1.185 3.038
F Ni Sb Rb
6 1 1 1
Direct
0.706 0.351 0.675
0.944 0.706 0.674
0.414 0.566 0.299
0.355 0.939 0.677
0.563 0.022 0.298
0.018 0.416 0.298
0.667 0.667 0.490
0.333 0.333 0.546
0.000 0.999 0.044
```


Record 8
VASP calculation (PBE with a Hubbard U) on a relaxed structure of Rb2ScNiF6.

Results
N(E_F) ... 0.000 states/eV/cell
Calculated total energy ... -5.1388 eV per atom
Crystal system ... tetragonal
SG ... No. 139

```
Rb2ScNiF6
1.0
6.256 0.000 0.000
0.000 6.256 0.000
3.128 3.128 4.131
F Sc Rb Ni
6 1 2 1
Direct
0.730 0.730 0.000
0.730 0.270 0.000
0.270 0.270 0.000
0.748 0.748 0.504
0.270 0.730 0.000
0.252 0.252 0.496
0.500 0.500 0.000
0.250 0.750 0.500
0.750 0.250 0.500
0.000 0.000 0.000
```


Record 9
VASP calculation (PBE with a Hubbard U) on a relaxed structure of Rb2ScNi3F12.

Results
N(E_F) ... 1.027 states/eV/cell
Calculated total energy ... -4.7834 eV per atom
Crystal system ... trigonal
SG ... No. 166

```
Rb2ScNi3F12
1.0
-4.707 -5.773 -0.474
0.000 -5.512 5.031
-5.607 -0.924 4.838
Sc F Ni Rb
1 12 3 2
Direct
0.000 0.000 0.000
0.923 0.317 0.317
0.317 0.923 0.317
0.683 0.683 0.077
0.331 0.924 0.924
0.077 0.683 0.683
0.076 0.076 0.669
0.669 0.076 0.076
0.924 0.331 0.924
0.924 0.924 0.331
0.683 0.077 0.683
0.076 0.669 0.076
0.317 0.317 0.923
0.000 0.000 0.500
0.500 0.000 0.000
0.000 0.500 0.000
0.383 0.383 0.383
0.617 0.617 0.617
```


Record 10
VASP calculation (PBE with a Hubbard U) on a relaxed structure of Rb2NiSeF6.

Results
N(E_F) ... 0.000 states/eV/cell
Calculated total energy ... -3.9321 eV per atom
Crystal system ... tetragonal
SG ... No. 139

```
Rb2NiSeF6
1.0
-2.558 2.591 5.404
1.927 -5.208 3.409
3.253 0.539 5.210
Rb F Ni Se
2 6 1 1
Direct
0.250 0.750 0.500
0.750 0.250 0.500
0.716 0.716 0.000
0.762 0.762 0.475
0.716 0.284 0.000
0.284 0.284 0.000
0.238 0.238 0.525
0.284 0.716 0.000
0.500 0.500 0.000
0.000 0.000 0.000
```


Record 11
VASP calculation (PBE with a Hubbard U) on a relaxed structure of Rb2NiSeF.

Results
N(E_F) ... 1.047 states/eV/cell
Calculated total energy ... -2.7993 eV per atom
Crystal system ... tetragonal
SG ... No. 123

```
Rb2NiSeF
1.0
6.490 0.000 0.000
0.000 4.376 0.000
0.000 0.000 6.490
Ni Rb Se F
1 2 1 1
Direct
0.000 0.500 0.000
0.000 0.000 0.500
0.500 0.000 0.000
0.000 0.000 0.000
0.500 0.500 0.500
```


Record 12
VASP calculation (PBE with a Hubbard U) on a relaxed structure of Rb2SmNi3F12.

Results
N(E_F) ... 3.203 states/eV/cell
Calculated total energy ... -4.6880 eV per atom
Crystal system ... trigonal
SG ... No. 166

```
Rb2SmNi3F12
1.0
7.345 -0.016 -0.011
3.613 6.395 -0.011
3.613 2.103 6.039
F Rb Ni Sm
12 2 3 1
Direct
0.894 0.894 0.376
0.094 0.708 0.708
0.708 0.094 0.708
0.106 0.106 0.624
0.376 0.894 0.894
0.106 0.624 0.106
0.624 0.106 0.106
0.708 0.708 0.094
0.894 0.376 0.894
0.292 0.906 0.292
0.292 0.292 0.906
0.906 0.292 0.292
0.615 0.615 0.615
0.385 0.385 0.385
0.500 0.000 0.000
0.000 0.500 0.000
0.000 0.000 0.500
0.000 0.000 0.000
```


Record 13
VASP calculation (PBE with a Hubbard U) on a relaxed structure of Rb2NiSnF6.

Results
N(E_F) ... 0.000 states/eV/cell
Calculated total energy ... -4.4293 eV per atom
Crystal system ... cubic
SG ... No. 225

```
Rb2NiSnF6
1.0
-4.138 -4.436 -1.514
1.131 -2.905 5.420
-4.722 -1.326 3.881
Rb F Sn Ni
2 6 1 1
Direct
0.750 0.250 0.500
0.250 0.750 0.500
0.731 0.269 0.000
0.731 0.731 0.537
0.269 0.731 0.000
0.269 0.269 0.463
0.731 0.731 0.000
0.269 0.269 0.000
0.000 0.000 0.000
0.500 0.500 0.000
```


Record 14
VASP calculation (PBE with a Hubbard U) on a relaxed structure of Rb3SrNi2F9.

Results
N(E_F) ... 0.000 states/eV/cell
Calculated total energy ... -4.5377 eV per atom
Crystal system ... trigonal
SG ... No. 164

```
Rb3SrNi2F9
1.0
6.087 0.000 0.000
-3.043 5.271 0.000
0.000 0.000 7.600
F Ni Rb Sr
9 2 3 1
Direct
0.821 0.179 0.690
0.358 0.179 0.690
0.179 0.358 0.310
0.821 0.642 0.690
0.000 0.500 0.000
0.642 0.821 0.310
0.500 0.000 0.000
0.179 0.821 0.310
0.500 0.500 0.000
0.667 0.333 0.847
0.333 0.667 0.153
0.000 0.000 0.000
0.333 0.667 0.688
0.667 0.333 0.312
0.000 0.000 0.500
```


Record 15
VASP calculation (PBE with a Hubbard U) on a relaxed structure of RbSr2NiF8.

Results
Calculated total energy ... -4.7624 eV per atom
Crystal system ... monoclinic
SG ... No. 10

```
RbSr2NiF8
1.0
-0.972 1.341 4.193
-4.501 -2.916 -1.209
3.463 -6.547 2.899
F Sr Rb Ni
8 2 1 1
Direct
0.068 0.773 0.820
0.609 0.790 0.000
0.391 0.210 0.000
0.932 0.228 0.820
0.572 0.284 0.500
0.932 0.227 0.180
0.068 0.772 0.180
0.428 0.716 0.500
0.500 0.500 0.242
0.500 0.500 0.758
0.000 0.000 0.500
0.000 0.000 0.000
```


Record 16
VASP calculation (PBE with a Hubbard U) on a relaxed structure of Rb2SrNi3F12.

Results
N(E_F) ... 7.543 states/eV/cell
Calculated total energy ... -4.2816 eV per atom
Crystal system ... trigonal
SG ... No. 166

```
Rb2SrNi3F12
1.0
7.181 -0.153 -0.108
3.414 6.320 -0.108
3.414 1.987 6.000
Rb F Ni Sr
2 12 3 1
Direct
0.389 0.389 0.389
0.611 0.611 0.611
0.719 0.101 0.719
0.879 0.879 0.413
0.413 0.879 0.879
0.587 0.121 0.121
0.879 0.413 0.879
0.899 0.281 0.281
0.121 0.121 0.587
0.281 0.899 0.281
0.281 0.281 0.899
0.101 0.719 0.719
0.719 0.719 0.101
0.121 0.587 0.121
0.500 0.000 0.000
0.000 0.500 0.000
0.000 0.000 0.500
0.000 0.000 0.000
```


Record 17
VASP calculation (PBE with a Hubbard U) on a relaxed structure of RbTbNiF6.

Results
N(E_F) ... 0.000 states/eV/cell
Calculated total energy ... -5.3115 eV per atom
Crystal system ... orthorhombic
SG ... No. 74

```
RbTbNiF6
1.0
7.683 0.000 0.000
0.000 7.277 0.000
-3.842 -3.638 5.124
Tb F Ni Rb
2 12 2 2
Direct
0.000 0.000 0.500
0.500 0.000 0.500
0.441 0.148 0.268
0.559 0.852 0.732
0.826 0.148 0.268
0.441 0.620 0.268
0.414 0.164 0.828
0.139 0.889 0.279
0.826 0.620 0.268
0.861 0.111 0.721
0.586 0.836 0.172
0.174 0.852 0.732
0.174 0.380 0.732
0.559 0.380 0.732
0.500 0.500 0.000
0.500 0.000 0.000
0.161 0.411 0.321
0.839 0.589 0.679
```


Record 18
VASP calculation (PBE with a Hubbard U) on a relaxed structure of Rb2TbNi3F12.

Results
N(E_F) ... 1.612 states/eV/cell
Calculated total energy ... -4.7002 eV per atom
Crystal system ... trigonal
SG ... No. 166

```
Rb2TbNi3F12
1.0
-4.328 1.620 5.874
-5.705 -4.436 1.908
0.263 -4.134 6.221
Ni F Tb Rb
3 12 1 2
Direct
0.000 0.500 0.000
0.500 0.000 0.000
0.000 0.000 0.500
0.094 0.639 0.094
0.303 0.913 0.303
0.906 0.361 0.906
0.303 0.303 0.913
0.913 0.303 0.303
0.094 0.094 0.639
0.697 0.087 0.697
0.697 0.697 0.087
0.639 0.094 0.094
0.361 0.906 0.906
0.906 0.906 0.361
0.087 0.697 0.697
0.000 0.000 0.000
0.385 0.385 0.385
0.615 0.615 0.615
```


Record 19
VASP calculation (PBE with a Hubbard U) on a relaxed structure of Rb2NiTeF6.

Results
N(E_F) ... 0.000 states/eV/cell
Calculated total energy ... -3.9646 eV per atom
Crystal system ... tetragonal
SG ... No. 139

```
Rb2NiTeF6
1.0
6.643 0.000 0.000
0.000 6.643 0.000
3.321 3.321 4.221
Rb F Ni Te
2 6 1 1
Direct
0.750 0.250 0.500
0.250 0.750 0.500
0.287 0.287 0.000
0.287 0.713 0.000
0.751 0.751 0.499
0.713 0.713 0.000
0.713 0.287 0.000
0.249 0.249 0.501
0.500 0.500 0.000
0.000 0.000 0.000
```


Record 20
VASP calculation (PBE with a Hubbard U) on a relaxed structure of RbNiTeF6.

Results
N(E_F) ... 1.255 states/eV/cell
Calculated total energy ... -4.0621 eV per atom
Crystal system ... triclinic
SG ... No. 1

```
RbNiTeF6
1.0
-1.527 -4.780 -0.965
1.782 -2.983 3.829
-5.026 0.623 3.636
F Ni Rb Te
6 1 1 1
Direct
0.414 0.319 0.163
0.490 0.929 0.795
0.945 0.511 0.340
0.009 0.468 0.753
0.357 0.786 0.415
0.758 0.049 0.461
0.699 0.693 0.581
0.995 0.956 0.019
0.332 0.287 0.473
```